Entry 1:
RbBaSmS3 | GGA-PBE | optimized geometry

```
data_RbBaSmS3
_chemical_formula_sum 'Rb4 Ba4 Sm4 S12'
_cell_length_a 12.021
_cell_length_b 4.284
_cell_length_c 19.529
_cell_angle_alpha 90.00
_cell_angle_beta 90.00
_cell_angle_gamma 90.00
_space_group_name_H-M_alt 'P 1'
_space_group_IT_number 1
_space_group_name_Hall 'P 1'
loop_
_atom_site_label
_atom_site_fract_x
_atom_site_fract_y
_atom_site_fract_z
_atom_site_occupancy
Rb1 0.248 0.250 0.124 1
Rb2 0.252 0.750 0.624 1
Rb3 0.748 0.250 0.376 1
Rb4 0.752 0.750 0.876 1
Ba1 0.248 0.250 0.359 1
Ba2 0.252 0.750 0.859 1
Ba3 0.748 0.250 0.141 1
Ba4 0.752 0.750 0.641 1
Sm1 0.002 0.250 0.750 1
Sm2 0.498 0.750 0.250 1
Sm3 0.502 0.250 0.750 1
Sm4 0.998 0.750 0.250 1
S1 0.002 0.250 0.345 1
S2 0.006 0.750 0.845 1
S3 0.248 0.750 0.253 1
S4 0.252 0.250 0.753 1
S5 0.494 0.250 0.345 1
S6 0.498 0.750 0.845 1
S7 0.502 0.250 0.155 1
S8 0.506 0.750 0.655 1
S9 0.748 0.750 0.247 1
S10 0.752 0.250 0.747 1
S11 0.994 0.250 0.155 1
S12 0.998 0.750 0.655 1
```

Output
Energy relative to the lowest polymorph listed for this composition in meV/atom: 0.0
E_tot in eV/cell: -119.1

***

Entry 2:
Ta2Nb4Co3N3 | GGA-PBE | optimized geometry

```
data_Ta2Nb4Co3N3
_chemical_formula_sum 'Ta4 Nb8 Co6 N6'
_cell_length_a 5.220
_cell_length_b 5.220
_cell_length_c 13.405
_cell_angle_alpha 101.04
_cell_angle_beta 101.04
_cell_angle_gamma 59.68
_space_group_name_H-M_alt 'P 1'
_space_group_IT_number 1
_space_group_name_Hall 'P 1'
loop_
_atom_site_label
_atom_site_fract_x
_atom_site_fract_y
_atom_site_fract_z
_atom_site_occupancy
Ta1 0.045 0.882 0.631 1
Ta2 0.118 0.955 0.869 1
Ta3 0.882 0.045 0.131 1
Ta4 0.955 0.118 0.369 1
Nb1 0.197 0.363 0.092 1
Nb2 0.300 0.474 0.408 1
Nb3 0.363 0.197 0.592 1
Nb4 0.474 0.300 0.908 1
Nb5 0.526 0.700 0.092 1
Nb6 0.637 0.803 0.408 1
Nb7 0.700 0.526 0.592 1
Nb8 0.803 0.637 0.908 1
Co1 0.085 0.453 0.751 1
Co2 0.375 0.625 0.250 1
Co3 0.453 0.085 0.251 1
Co4 0.547 0.915 0.749 1
Co5 0.625 0.375 0.750 1
Co6 0.915 0.547 0.249 1
N1 0.000 0.500 0.500 1
N2 0.148 0.703 0.000 1
N3 0.297 0.852 0.500 1
N4 0.500 0.000 0.000 1
N5 0.703 0.148 0.500 1
N6 0.852 0.297 0.000 1
```

Output
E_tot in eV/cell: -232.0

***

Entry 3:
ZnTcAsO | GGA-PBE | optimized geometry

```
data_ZnTcAsO
_chemical_formula_sum 'Zn2 Tc2 As2 O2'
_cell_length_a 3.410
_cell_length_b 3.410
_cell_length_c 9.736
_cell_angle_alpha 90.00
_cell_angle_beta 90.00
_cell_angle_gamma 90.00
_space_group_name_H-M_alt 'P 1'
_space_group_IT_number 1
_space_group_name_Hall 'P 1'
loop_
_atom_site_label
_atom_site_fract_x
_atom_site_fract_y
_atom_site_fract_z
_atom_site_occupancy
Zn1 0.250 0.750 0.000 1
Zn2 0.750 0.250 0.000 1
Tc1 0.250 0.250 0.371 1
Tc2 0.750 0.750 0.629 1
As1 0.250 0.250 0.761 1
As2 0.750 0.750 0.239 1
O1 0.250 0.750 0.500 1
O2 0.750 0.250 0.500 1
```

Output
Energy relative to the lowest polymorph listed for this composition in meV/atom: 450.9
E_tot in eV/cell: -43.2

***

> E_tot of number 1 (RbBaSmS3)?

-119.1 eV/cell

***

> Number 3 is which compound?

ZnTcAsO

***

> Number 1 is which compound?

RbBaSmS3